Compound: ScP2IO
Source: the Alexandria database
Functional: PBE
Structure: optimized geometry

Excess energy over the best structure of this formula in the dataset   0.226 eV/atom
Electronic total energy   -4.73 eV per atom
Formation energy (no corrections)   -0.001 eV per atom
DOS(E_F)   1.58 states/eV/cell
M_tot   0.00 μB/atom
SG   P4/mmm

The structure in POSCAR format:
```
ScP2IO
1.0
-3.983 -0.150 0.588
0.248 -5.845 0.185
0.582 0.151 3.984
P O Sc I
2 1 1 1
Direct
0.000 0.000 0.500
0.500 0.000 0.000
0.000 0.000 0.000
0.500 0.500 0.500
0.000 0.500 0.000
```


Compound: LiBeAg2
Source: the Alexandria database
Functional: PBE
Structure: optimized geometry

Electronic total energy   -2.79 eV per atom
DOS(E_F)   0.51 states/eV/cell
M_tot   0.00 μB/atom
Energy of formation from the pure elements   4.6 kJ per mole of atoms
SG   C2/m

The structure in POSCAR format:
```
LiBeAg2
1.0
4.988 -0.010 0.063
3.950 3.046 0.063
2.156 0.732 3.959
Ag Be Li
2 1 1
Direct
0.463 0.463 0.538
0.037 0.037 0.962
0.750 0.750 0.750
0.250 0.250 0.250
```


Compound: Sr3AsW
Source: the Alexandria database
Functional: PBE
Structure: optimized geometry

Excess energy over the best structure of this formula in the dataset   0.339 eV/atom
Electronic total energy   -3.59 eV per atom
DOS(E_F)   6.77 states/eV/cell
M_tot   0.00 μB/atom
Energy of formation from the pure elements   90.3 kJ per mole of atoms
SG   Pm-3m

The structure in POSCAR format:
```
Sr3AsW
1.0
-1.045 3.597 4.239
2.089 -3.743 3.691
5.152 2.247 -0.637
W Sr As
1 3 1
Direct
0.000 0.000 0.000
0.000 0.500 0.000
0.000 0.000 0.500
0.500 0.000 0.000
0.500 0.500 0.500
```


Compound: Pr2DyY6Ho
Source: the Alexandria database
Functional: PBE
Structure: optimized geometry

Electronic total energy   -5.64 eV per atom
DOS(E_F)   29.18 states/eV/cell
M_tot   0.00 μB/atom
Energy of formation from the pure elements   10.9 kJ per mole of atoms
SG   C2/c

The structure in POSCAR format:
```
Pr2DyY6Ho
1.0
9.336 -2.158 -2.240
0.656 8.544 -1.985
0.656 -2.301 8.465
Y Pr Dy Ho
12 4 2 2
Direct
0.618 0.497 0.705
0.687 0.021 0.578
0.443 0.255 0.877
0.118 0.705 0.497
0.313 0.979 0.422
0.882 0.295 0.503
0.557 0.745 0.123
0.187 0.578 0.021
0.943 0.877 0.255
0.813 0.422 0.979
0.057 0.123 0.745
0.382 0.503 0.295
0.956 0.708 0.808
0.456 0.808 0.708
0.544 0.192 0.292
0.044 0.292 0.192
0.750 0.595 0.405
0.250 0.405 0.595
0.250 0.983 0.017
0.750 0.017 0.983
```


Compound: KCaScBr6
Source: the Alexandria database
Functional: PBE
Structure: optimized geometry

Electronic total energy   -4.01 eV per atom
Formation energy (no corrections)   -1.845 eV per atom
DOS(E_F)   0.00 states/eV/cell
M_tot   0.00 μB/atom
SG   P-31c

The structure in POSCAR format:
```
KCaScBr6
1.0
7.292 0.000 0.000
-3.646 6.315 0.000
0.000 0.000 14.279
Br K Sc Ca
12 2 2 2
Direct
0.976 0.358 0.140
0.642 0.024 0.360
0.024 0.382 0.640
0.382 0.358 0.360
0.618 0.976 0.860
0.358 0.382 0.860
0.976 0.618 0.360
0.618 0.642 0.640
0.358 0.976 0.640
0.642 0.618 0.140
0.382 0.024 0.140
0.024 0.642 0.860
0.000 0.000 0.000
0.000 0.000 0.500
0.667 0.333 0.250
0.333 0.667 0.750
0.333 0.667 0.250
0.667 0.333 0.750
```


Compound: NdThTc
Source: the Alexandria database
Functional: PBE
Structure: optimized geometry

Excess energy over the best structure of this formula in the dataset   0.000 eV/atom
Electronic total energy   -7.51 eV per atom
DOS(E_F)   3.26 states/eV/cell
M_tot   0.00 μB/atom
Energy of formation from the pure elements   1.1 kJ per mole of atoms
SG   I4mm

The structure in POSCAR format:
```
NdThTc
1.0
3.562 0.000 0.000
0.000 3.562 0.000
-1.781 -1.781 5.930
Nd Tc Th
1 1 1
Direct
0.013 0.013 0.026
0.679 0.679 0.358
0.308 0.308 0.615
```


Compound: PtRh2W
Source: the Alexandria database
Functional: PBE
Structure: optimized geometry

Excess energy over the best structure of this formula in the dataset   0.249 eV/atom
Electronic total energy   -8.42 eV per atom
DOS(E_F)   2.08 states/eV/cell
M_tot   0.00 μB/atom
Energy of formation from the pure elements   0.5 kJ per mole of atoms
SG   Fm-3m

The structure in POSCAR format:
```
PtRh2W
1.0
0.000 3.115 3.115
3.115 0.000 3.115
3.115 3.115 0.000
Pt W Rh
1 1 2
Direct
0.500 0.500 0.500
0.000 0.000 0.000
0.750 0.750 0.750
0.250 0.250 0.250
```


Compound: Nd3Ge5Ir6
Source: the Alexandria database
Functional: PBE
Structure: optimized geometry

Electronic total energy   -7.21 eV per atom
DOS(E_F)   11.34 states/eV/cell
M_tot   0.00 μB/atom
Energy of formation from the pure elements   -71.4 kJ per mole of atoms
SG   Pmmn

The structure in POSCAR format:
```
Nd3Ge5Ir6
1.0
4.148 0.000 0.000
0.000 10.015 0.000
0.000 0.000 12.718
Nd Ir Ge
6 12 10
Direct
0.000 0.253 0.339
0.500 0.747 0.839
0.500 0.745 0.500
0.000 0.253 0.661
0.000 0.255 0.000
0.500 0.747 0.161
0.000 0.498 0.500
0.000 0.008 0.169
0.000 0.982 0.500
0.500 0.018 0.000
0.500 0.397 0.200
0.500 0.992 0.331
0.000 0.603 0.300
0.500 0.397 0.800
0.500 0.992 0.669
0.000 0.603 0.700
0.000 0.008 0.831
0.500 0.502 0.000
0.000 0.516 0.879
0.000 0.879 0.000
0.500 0.121 0.500
0.500 0.484 0.621
0.000 0.516 0.121
0.500 0.484 0.379
0.000 0.852 0.328
0.000 0.852 0.672
0.500 0.148 0.172
0.500 0.148 0.828
```


Compound: Tb2HoRh
Source: the Alexandria database
Functional: PBE
Structure: optimized geometry

Excess energy over the best structure of this formula in the dataset   0.033 eV/atom
Electronic total energy   -5.79 eV per atom
DOS(E_F)   9.39 states/eV/cell
M_tot   0.00 μB/atom
Energy of formation from the pure elements   -47.3 kJ per mole of atoms
SG   Cmcm

The structure in POSCAR format:
```
Tb2HoRh
1.0
3.813 -0.152 0.000
-1.671 5.977 0.000
0.000 0.000 9.489
Tb Ho Rh
4 2 2
Direct
0.862 0.724 0.567
0.862 0.724 0.933
0.138 0.276 0.067
0.138 0.276 0.433
0.578 0.156 0.750
0.422 0.844 0.250
0.258 0.516 0.750
0.742 0.484 0.250
```


Compound: KNdGa2I6
Source: the Alexandria database
Functional: PBE
Structure: optimized geometry

Electronic total energy   -3.12 eV per atom
Formation energy (no corrections)   -0.996 eV per atom
DOS(E_F)   0.00 states/eV/cell
M_tot   0.00 μB/atom
SG   R3

The structure in POSCAR format:
```
KNdGa2I6
1.0
8.337 0.000 0.001
4.169 7.219 0.000
4.168 2.407 7.560
I Ga K Nd
6 2 1 1
Direct
0.942 0.581 0.239
0.140 0.380 0.757
0.723 0.140 0.757
0.238 0.942 0.239
0.380 0.722 0.757
0.581 0.238 0.239
0.005 0.005 0.984
0.511 0.511 0.465
0.815 0.815 0.555
0.325 0.325 0.025
```